Here is a relaxed ThFeRe crystal from the Alexandria database. Energies are from PBE.

Cell: 3.9692 3.9692 4.4949 Å, 90.00 90.00 120.00°
Last column: nearest neighbours and their distance in Å.
Space group P3m1 (No. 156)
Unique sites:
Th 0.0000 0.0000 0.0000 [1 per cell]  6 Fe 3.05-3.38, 6 Re 3.07-3.35
Fe 0.3333 0.6667 0.5537 [1 per cell]  3 Re 2.33
Re 0.6667 0.3333 0.4551 [1 per cell]  3 Fe 2.33

## Properties
Final energy ... -28.2 eV for the cell shown
Energy relative to the lowest polymorph listed for this composition ... 89 meV per atom
Formation energy ... 0.05 eV/atom